(1)
Here is an optimized crystal structure of ZrTe2Ru from the Alexandria database. Energies are from PBE-GGA.

Lattice parameters (Å, degrees): 7.7268 7.7268 7.7268 30.92 30.92 30.92
Atoms (fractional coordinates):
Zr  0.0000  0.0000  0.0000
Te  0.5574  0.5574  0.5574
Te  0.7483  0.7483  0.7483
Ru  0.2654  0.2654  0.2654

* symmetry: R3m, No. 160
* formation energy without anion corrections: -276 meV per atom
* energy relative to the lowest polymorph listed for this composition: 192 meV per atom


(2)
Here is an optimized crystal structure of Nb8Sn4H from the Alexandria database. Energies are from PBE-GGA.

Lattice parameters (Å, degrees): 3.6268 4.6488 13.8908 90.00 90.00 90.00
Atoms (fractional coordinates):
Nb  0.0000  0.0000  0.0000
Nb  0.0000  0.0000  0.3278
Nb  0.0000  0.5000  0.1917
Nb  0.0000  0.5000  0.5296
Nb  0.5000  0.0000  0.5068
Nb  0.5000  0.0000  0.8377
Nb  0.5000  0.5000  0.0266
Nb  0.5000  0.5000  0.6936
Sn  0.0000  0.0000  0.6722
Sn  0.0000  0.5000  0.8620
Sn  0.5000  0.0000  0.1634
Sn  0.5000  0.5000  0.3611
H  0.0000  0.0000  0.4650

* symmetry: Pmm2, No. 25
* E: -0.28745 Ha/atom


(3)
Here is an optimized crystal structure of K3Y from the Alexandria database. Energies are from PBE-GGA.

Lattice parameters (Å, degrees): 7.6573 7.6573 7.6573 134.79 134.79 65.86
Atoms (fractional coordinates):
K  0.0000  0.0000  0.0000
K  0.2500  0.7500  0.5000
K  0.7500  0.2500  0.5000
Y  0.5000  0.5000  0.0000

* symmetry: I4/mmm, No. 139
* E: -0.06916 Ha/atom


(4)
Here is an optimized crystal structure of NbCoIr from the Alexandria database. Energies are from PBE-GGA.

Lattice parameters (Å, degrees): 3.7684 3.7684 6.4305 90.00 90.00 90.00
Atoms (fractional coordinates):
Nb  0.2500  0.2500  0.1564
Nb  0.7500  0.7500  0.8436
Co  0.2500  0.7500  0.5000
Co  0.7500  0.2500  0.5000
Ir  0.2500  0.2500  0.7602
Ir  0.7500  0.7500  0.2398

* symmetry: P4/nmm, No. 129
* E: -0.32668 Ha/atom